# Tb2Si3Ni12Pt

Crystalline Tb2Si3Ni12Pt at its relaxed geometry (PBE, Alexandria via LeMat-Bulk).

Cell: 6.2894 6.2894 6.2894 Å, 85.48 85.48 85.48°
Closest atoms and distances in Å follow each position.
Fractional positions:
Tb1 0.1737 0.1737 0.1737  6 Ni 2.51-2.73
Tb2 0.8263 0.8263 0.8263  6 Ni 2.51-2.73
Si1 0.0000 0.5000 0.5000  2 Ni 2.26
Si2 0.5000 0.0000 0.5000  2 Ni 2.26
Si3 0.5000 0.5000 0.0000  2 Ni 2.26
Ni1 0.1094 0.1094 0.6068  2 Ni 2.33-2.54, 2 Si 2.55
Ni2 0.1094 0.6068 0.1094  2 Ni 2.33-2.54, 2 Si 2.55
Ni3 0.1951 0.6914 0.6914  1 Si 2.26, 3 Ni 2.33-2.52, 1 Pt 2.47, 1 Tb 2.51
Ni4 0.3086 0.3086 0.8049  1 Si 2.26, 3 Ni 2.33-2.52, 1 Pt 2.47, 1 Tb 2.51
Ni5 0.3086 0.8049 0.3086  1 Si 2.26, 3 Ni 2.33-2.52, 1 Pt 2.47, 1 Tb 2.51
Ni6 0.3932 0.8906 0.8906  2 Ni 2.33-2.54, 2 Si 2.55
Ni7 0.6068 0.1094 0.1094  2 Ni 2.33-2.54, 2 Si 2.55
Ni8 0.6914 0.1951 0.6914  1 Si 2.26, 3 Ni 2.33-2.52, 1 Pt 2.47, 1 Tb 2.51
Ni9 0.6914 0.6914 0.1951  1 Si 2.26, 3 Ni 2.33-2.52, 1 Pt 2.47, 1 Tb 2.51
Ni10 0.8049 0.3086 0.3086  1 Si 2.26, 3 Ni 2.33-2.52, 1 Pt 2.47, 1 Tb 2.51
Ni11 0.8906 0.3932 0.8906  2 Ni 2.33-2.54, 2 Si 2.55
Ni12 0.8906 0.8906 0.3932  2 Ni 2.33-2.54, 2 Si 2.55
Pt1 0.5000 0.5000 0.5000  6 Ni 2.47

DOS at the Fermi energy	0.867	states/eV per atom
size of the total moment	0.00	μB per cell
ΔE_f (raw)	-1.8	eV per formula unit



# Tb2Si4NiPt3

Crystalline Tb2Si4NiPt3 at its relaxed geometry (PBE, Alexandria via LeMat-Bulk).

Cell: 4.1499 4.1499 9.8742 Å, 90.00 90.00 90.00°
Closest atoms and distances in Å follow each position.
Fractional positions:
Tb1 0.0000 0.5000 0.2462  8 Si 3.16-3.25, 6 Pt 3.19-3.20, 2 Ni 3.20
Tb2 0.5000 0.0000 0.7538  8 Si 3.16-3.25, 6 Pt 3.19-3.20, 2 Ni 3.20
Si1 0.0000 0.0000 0.5000  4 Pt 2.43
Si2 0.0000 0.5000 0.8728  3 Pt 2.42-2.43, 2 Ni 2.43
Si3 0.5000 0.0000 0.1272  3 Pt 2.42-2.43, 2 Ni 2.43
Si4 0.5000 0.5000 0.5000  4 Pt 2.43
Ni1 0.5000 0.5000 0.0000  4 Si 2.43
Pt1 0.0000 0.0000 0.0000  4 Si 2.43
Pt2 0.0000 0.5000 0.6278  5 Si 2.42-2.43
Pt3 0.5000 0.0000 0.3722  5 Si 2.42-2.43

DOS at the Fermi energy	0.586	states/eV per atom
size of the total moment	0.00	μB per cell
ΔE_f (raw)	-10.4	eV per formula unit